1.
# Nd4SbTeSe2, optimized geometry, DFT PBE
# Total DFT energy (no corrections) (eV per atom): -5.747
# Formation energy without anion corrections (eV/atom): -1.584
# Symmetry: No. 10
# Density (Mg/m³): 6.90
data_Nd4SbTeSe2
_chemical_formula_sum 'Nd4 Sb1 Te1 Se2'
_cell_length_a 7.5689
_cell_length_b 4.3541
_cell_length_c 7.6102
_cell_angle_alpha 90.00
_cell_angle_beta 109.16
_cell_angle_gamma 90.00
_space_group_name_H-M_alt 'P 1'
_space_group_IT_number 1
_space_group_name_Hall 'P 1'
loop_
_atom_site_label
_atom_site_type_symbol
_atom_site_fract_x
_atom_site_fract_y
_atom_site_fract_z
_atom_site_occupancy
Nd1 Nd 0.2349 0.0000 0.2256 1
Nd2 Nd 0.2497 0.5000 0.7683 1
Nd3 Nd 0.7503 0.5000 0.2317 1
Nd4 Nd 0.7651 0.0000 0.7744 1
Sb1 Sb 0.0000 0.0000 0.5000 1
Te1 Te 0.5000 0.5000 0.5000 1
Se1 Se 0.0000 0.5000 0.0000 1
Se2 Se 0.5000 0.0000 0.0000 1

---

2.
# Ac3Cd2Au7, optimized geometry, DFT PBE
# Total DFT energy (no corrections) (eV per atom): -3.665
# Symmetry: No. 10
# Density (Mg/m³): 12.07
data_Ac3Cd2Au7
_chemical_formula_sum 'Ac3 Cd2 Au7'
_cell_length_a 5.1670
_cell_length_b 4.5073
_cell_length_c 13.6196
_cell_angle_alpha 90.00
_cell_angle_beta 97.60
_cell_angle_gamma 90.00
_space_group_name_H-M_alt 'P 1'
_space_group_IT_number 1
_space_group_name_Hall 'P 1'
loop_
_atom_site_label
_atom_site_type_symbol
_atom_site_fract_x
_atom_site_fract_y
_atom_site_fract_z
_atom_site_occupancy
Ac1 Ac 0.0000 0.0000 0.0000 1
Ac2 Ac 0.3357 0.5000 0.6447 1
Ac3 Ac 0.6643 0.5000 0.3553 1
Cd1 Cd 0.0889 0.0000 0.2647 1
Cd2 Cd 0.9111 0.0000 0.7353 1
Au1 Au 0.2179 0.5000 0.1617 1
Au2 Au 0.2383 0.0000 0.4653 1
Au3 Au 0.4226 0.0000 0.8322 1
Au4 Au 0.5000 0.5000 0.0000 1
Au5 Au 0.5774 0.0000 0.1678 1
Au6 Au 0.7617 0.0000 0.5347 1
Au7 Au 0.7821 0.5000 0.8383 1

---

3.
# Pm6Ga2Ag, optimized geometry, DFT PBE
# Total DFT energy (no corrections) (eV per atom): -4.458
# Symmetry: No. 71
# Density (Mg/m³): 7.11
data_Pm6Ga2Ag
_chemical_formula_sum 'Pm12 Ga4 Ag2'
_cell_length_a 8.7923
_cell_length_b 8.7923
_cell_length_c 8.7923
_cell_angle_alpha 111.86
_cell_angle_beta 110.16
_cell_angle_gamma 106.45
_space_group_name_H-M_alt 'P 1'
_space_group_IT_number 1
_space_group_name_Hall 'P 1'
loop_
_atom_site_label
_atom_site_type_symbol
_atom_site_fract_x
_atom_site_fract_y
_atom_site_fract_z
_atom_site_occupancy
Pm1 Pm 0.0323 0.8253 0.2070 1
Pm2 Pm 0.2514 0.5547 0.3034 1
Pm3 Pm 0.2514 0.9480 0.6966 1
Pm4 Pm 0.2704 0.3243 0.5948 1
Pm5 Pm 0.2704 0.6757 0.9461 1
Pm6 Pm 0.3817 0.1747 0.2070 1
Pm7 Pm 0.6183 0.8253 0.7930 1
Pm8 Pm 0.7296 0.3243 0.0539 1
Pm9 Pm 0.7296 0.6757 0.4052 1
Pm10 Pm 0.7486 0.0520 0.3034 1
Pm11 Pm 0.7486 0.4453 0.6966 1
Pm12 Pm 0.9677 0.1747 0.7930 1
Ga1 Ga 0.0000 0.1416 0.1416 1
Ga2 Ga 0.0000 0.8584 0.8584 1
Ga3 Ga 0.3779 0.3779 0.0000 1
Ga4 Ga 0.6221 0.6221 0.0000 1
Ag1 Ag 0.0000 0.5000 0.5000 1
Ag2 Ag 0.5000 0.0000 0.5000 1